# 1
Compound: CdAgSe
Source: the Alexandria database
Functional: GGA-PBE
Structure: optimized geometry

Values from the calculation:
D(E_F) ... 0.16 states/eV per atom
E ... -2.5673 eV per atom

a b c (Å): 12.3338 3.9825 6.6263
angles (deg): 90.00 116.08 90.00
Closest atoms and distances in Å follow each position.
Fractional coordinates of all 12 atoms:
Cd 0.1598 0.0000 0.1215  3 Se 2.68-2.99, 3 Ag 2.78-2.98
Cd 0.3402 0.5000 0.8785  3 Se 2.68-2.99, 3 Ag 2.78-2.98
Cd 0.6598 0.5000 0.1215  3 Se 2.68-2.99, 3 Ag 2.78-2.98
Cd 0.8402 0.0000 0.8785  3 Se 2.68-2.99, 3 Ag 2.78-2.98
Ag 0.1503 0.5000 0.4486  2 Se 2.66-2.90, 1 Cd 2.78
Ag 0.3497 0.0000 0.5514  2 Se 2.66-2.90, 1 Cd 2.78
Ag 0.6503 0.0000 0.4486  2 Se 2.66-2.90, 1 Cd 2.78
Ag 0.8497 0.5000 0.5514  2 Se 2.66-2.90, 1 Cd 2.78
Se 0.0859 0.5000 0.8196  2 Ag 2.66-2.90, 2 Cd 2.68
Se 0.4141 0.0000 0.1804  2 Ag 2.66-2.90, 2 Cd 2.68
Se 0.5859 0.0000 0.8196  2 Ag 2.66-2.90, 2 Cd 2.68
Se 0.9141 0.5000 0.1804  2 Ag 2.66-2.90, 2 Cd 2.68

***

# 2
Compound: LiPrLuTl
Source: the Alexandria database
Functional: GGA-PBE
Structure: optimized geometry

Values from the calculation:
Formation energy from the elements ... -0.17 eV per atom
D(E_F) ... 0.95 states/eV per atom

a b c (Å): 7.5634 7.5634 7.5634
angles (deg): 90.00 90.00 90.00
Closest atoms and distances in Å follow each position.
Fractional coordinates of all 16 atoms:
Li 0.0000 0.0000 0.0000  4 Lu 3.28, 4 Pr 3.28
Li 0.0000 0.5000 0.5000  4 Lu 3.28, 4 Pr 3.28
Li 0.5000 0.0000 0.5000  4 Lu 3.28, 4 Pr 3.28
Li 0.5000 0.5000 0.0000  4 Lu 3.28, 4 Pr 3.28
Pr 0.2500 0.2500 0.7500  4 Li 3.28, 4 Tl 3.28
Pr 0.2500 0.7500 0.2500  4 Li 3.28, 4 Tl 3.28
Pr 0.7500 0.2500 0.2500  4 Li 3.28, 4 Tl 3.28
Pr 0.7500 0.7500 0.7500  4 Tl 3.28, 4 Li 3.28
Lu 0.2500 0.2500 0.2500  4 Tl 3.28, 4 Li 3.28
Lu 0.2500 0.7500 0.7500  4 Tl 3.28, 4 Li 3.28
Lu 0.7500 0.2500 0.7500  4 Tl 3.28, 4 Li 3.28
Lu 0.7500 0.7500 0.2500  4 Tl 3.28, 4 Li 3.28
Tl 0.0000 0.0000 0.5000  4 Pr 3.28, 4 Lu 3.28
Tl 0.0000 0.5000 0.0000  4 Pr 3.28, 4 Lu 3.28
Tl 0.5000 0.0000 0.0000  4 Pr 3.28, 4 Lu 3.28
Tl 0.5000 0.5000 0.5000  4 Pr 3.28, 4 Lu 3.28

***

# 3
Compound: Ba2LaAu
Source: the Alexandria database
Functional: GGA-PBE
Structure: optimized geometry

Values from the calculation:
Formation energy from the elements ... -0.01 eV per atom
D(E_F) ... 1.45 states/eV per atom

a b c (Å): 4.9339 4.9339 11.9843
angles (deg): 90.00 90.00 90.00
Closest atoms and distances in Å follow each position.
Fractional coordinates of all 8 atoms:
Ba 0.0000 0.5000 0.2500  4 Ba 3.49, 4 La 3.88, 4 Au 3.88
Ba 0.0000 0.5000 0.7500  4 Ba 3.49, 4 La 3.88, 4 Au 3.88
Ba 0.5000 0.0000 0.2500  4 Ba 3.49, 4 La 3.88, 4 Au 3.88
Ba 0.5000 0.0000 0.7500  4 Ba 3.49, 4 La 3.88, 4 Au 3.88
La 0.0000 0.0000 0.0000  4 Au 3.49, 8 Ba 3.88
La 0.5000 0.5000 0.5000  4 Au 3.49, 8 Ba 3.88
Au 0.0000 0.0000 0.5000  4 La 3.49, 8 Ba 3.88
Au 0.5000 0.5000 0.0000  4 La 3.49, 8 Ba 3.88

***

# 4
Compound: PmSm4Ag2
Source: the Alexandria database
Functional: GGA-PBE
Structure: optimized geometry

Values from the calculation:
Formation energy from the elements ... 0.18 eV per atom
D(E_F) ... 1.75 states/eV per atom

a b c (Å): 10.6015 10.6015 10.6015
angles (deg): 27.75 27.75 27.75
Closest atoms and distances in Å follow each position.
Fractional coordinates of all 7 atoms:
Pm 0.0000 0.0000 0.0000  2 Ag 3.10, 6 Sm 3.44
Sm 0.2039 0.2039 0.2039  4 Ag 3.06-3.13
Sm 0.3923 0.3923 0.3923  3 Ag 3.21, 3 Pm 3.44
Sm 0.6077 0.6077 0.6077  3 Ag 3.21, 3 Pm 3.44
Sm 0.7961 0.7961 0.7961  4 Ag 3.06-3.13
Ag 0.1016 0.1016 0.1016  7 Sm 3.06-3.21, 1 Pm 3.10
Ag 0.8984 0.8984 0.8984  7 Sm 3.06-3.21, 1 Pm 3.10

***

# 5
Compound: Ho8Ga3S3N
Source: the Alexandria database
Functional: GGA-PBE
Structure: optimized geometry

Values from the calculation:
D(E_F) ... 0.53 states/eV per atom
E ... -5.6021 eV per atom

a b c (Å): 8.3329 8.3329 8.3329
angles (deg): 54.03 54.03 54.03
Closest atoms and distances in Å follow each position.
Fractional coordinates of all 15 atoms:
Ho 0.2431 0.2431 0.2431  3 S 2.72, 3 Ga 2.91
Ho 0.2667 0.7208 0.7208  1 N 2.47, 2 S 2.73
Ho 0.2792 0.2792 0.7333  1 N 2.47, 2 S 2.73
Ho 0.2792 0.7333 0.2792  1 N 2.47, 2 S 2.73
Ho 0.7208 0.2667 0.7208  1 N 2.47, 2 S 2.73
Ho 0.7208 0.7208 0.2667  1 N 2.47, 2 S 2.73
Ho 0.7333 0.2792 0.2792  1 N 2.47, 2 S 2.73
Ho 0.7569 0.7569 0.7569  3 S 2.72, 3 Ga 2.91
Ga 0.0000 0.5000 0.5000  6 Ho 2.91-2.94
Ga 0.5000 0.0000 0.5000  6 Ho 2.91-2.94
Ga 0.5000 0.5000 0.0000  6 Ho 2.91-2.94
S 0.0000 0.0000 0.5000  6 Ho 2.72-2.73
S 0.0000 0.5000 0.0000  6 Ho 2.72-2.73
S 0.5000 0.0000 0.0000  6 Ho 2.72-2.73
N 0.5000 0.5000 0.5000  6 Ho 2.47

***

# 6
Compound: Zr2TaHg
Source: the Alexandria database
Functional: GGA-PBE
Structure: optimized geometry

Values from the calculation:
Formation energy from the elements ... 0.08 eV per atom
D(E_F) ... 1.24 states/eV per atom

a b c (Å): 10.5390 3.1027 5.3067
angles (deg): 90.00 101.86 90.00
Closest atoms and distances in Å follow each position.
Fractional coordinates of all 8 atoms:
Zr 0.0000 0.0000 0.0000  3 Hg 3.04-3.06, 4 Ta 3.05-3.11, 3 Zr 3.10-3.15
Zr 0.2237 0.0000 0.6871  3 Ta 3.02-3.08, 4 Hg 3.06-3.11, 3 Zr 3.10-3.15
Zr 0.5000 0.5000 0.0000  3 Hg 3.04-3.06, 4 Ta 3.05-3.11, 3 Zr 3.10-3.15
Zr 0.7237 0.5000 0.6871  3 Ta 3.02-3.08, 4 Hg 3.06-3.11, 3 Zr 3.10-3.15
Ta 0.4780 0.0000 0.4851  2 Hg 3.01, 7 Zr 3.02-3.11, 2 Ta 3.10
Ta 0.9780 0.5000 0.4851  2 Hg 3.01, 7 Zr 3.02-3.11, 2 Ta 3.10
Hg 0.2479 0.5000 0.2024  2 Ta 3.01, 7 Zr 3.04-3.11, 2 Hg 3.10
Hg 0.7479 0.0000 0.2024  2 Ta 3.01, 7 Zr 3.04-3.11, 2 Hg 3.10

***

# 7
Compound: FeTc3Pb
Source: the Alexandria database
Functional: GGA-PBE
Structure: optimized geometry

Values from the calculation:
Formation energy from the elements ... 1.16 eV per atom
D(E_F) ... 1.42 states/eV per atom

a b c (Å): 4.4920 4.4920 4.4920
angles (deg): 90.00 90.00 90.00
Closest atoms and distances in Å follow each position.
Fractional coordinates of all 5 atoms:
Fe 0.0000 0.0000 0.0000  6 Tc 2.25
Tc 0.0000 0.0000 0.5000  2 Fe 2.25
Tc 0.0000 0.5000 0.0000  2 Fe 2.25
Tc 0.5000 0.0000 0.0000  2 Fe 2.25
Pb 0.5000 0.5000 0.5000  12 Tc 3.18

***

# 8
Compound: LiBPd4
Source: the Alexandria database
Functional: GGA-PBE
Structure: optimized geometry

Values from the calculation:
Formation energy from the elements ... -0.22 eV per atom
D(E_F) ... 0.34 states/eV per atom

a b c (Å): 6.0435 6.0435 4.8990
angles (deg): 100.14 100.14 108.53
Closest atoms and distances in Å follow each position.
Fractional coordinates of all 12 atoms:
Li 0.1156 0.8844 0.7500  8 Pd 2.55-2.70
Li 0.8844 0.1156 0.2500  8 Pd 2.55-2.70
B 0.4976 0.5024 0.7500  4 Pd 2.13-2.14
B 0.5024 0.4976 0.2500  4 Pd 2.13-2.14
Pd 0.1094 0.3091 0.8723  2 B 2.50-2.52, 2 Li 2.55-2.70, 3 Pd 2.75-2.79
Pd 0.2302 0.5531 0.4487  2 B 2.13-2.14
Pd 0.3091 0.1094 0.3723  2 B 2.50-2.52, 2 Li 2.55-2.70, 3 Pd 2.75-2.79
Pd 0.4469 0.7698 0.0513  2 B 2.13-2.14
Pd 0.5531 0.2302 0.9487  2 B 2.13-2.14
Pd 0.6909 0.8906 0.6277  2 B 2.50-2.52, 2 Li 2.55-2.70, 3 Pd 2.75-2.79
Pd 0.7698 0.4469 0.5513  2 B 2.13-2.14
Pd 0.8906 0.6909 0.1277  2 B 2.50-2.52, 2 Li 2.55-2.70, 3 Pd 2.75-2.79

***

These records have mass density values of 6.80, 8.09, 6.95, 7.00, 7.73, 11.03, 10.21, 9.10 g/cm³, in the order they appear.